VASP calculation (PBE) on a relaxed Hf6ZnGa crystal.

Lattice parameters (Å, degrees): 7.704 7.705 5.449 45.00 45.02 60.01
Fractional positions:
Hf  0.001  0.500  0.749
Hf  0.250  0.000  0.250
Hf  0.500  0.750  0.749
Hf  0.500  0.250  0.251
Hf  0.750  0.000  0.750
Hf  0.999  0.500  0.251
Ga  0.500  0.500  0.500
Zn  0.000  0.000  0.000

Calculated values
Calculated formation energy: -0.116 eV per atom
Space group: No. 10
Total magnetization: 0.00 μB per formula unit
Crystal system: monoclinic

VASP calculation (PBE) on a relaxed GaNi12As3 crystal.

Lattice parameters (Å, degrees): 3.589 3.589 14.339 90.00 90.00 90.00
Fractional positions:
As  0.000  0.000  0.754
As  0.000  0.000  0.500
As  0.000  0.000  0.246
Ni  0.500  0.500  0.748
Ni  0.500  0.000  0.625
Ni  0.500  0.000  0.375
Ni  0.000  0.500  0.375
Ni  0.500  0.500  0.500
Ni  0.000  0.500  0.625
Ni  0.500  0.500  0.252
Ni  0.500  0.000  0.126
Ni  0.500  0.000  0.874
Ni  0.000  0.500  0.126
Ni  0.500  0.500  0.000
Ni  0.000  0.500  0.874
Ga  0.000  0.000  0.000

Calculated values
Calculated formation energy: -0.208 eV per atom
Space group: No. 123
Total magnetization: 0.00 μB per formula unit
Crystal system: tetragonal

VASP calculation (PBE) on a relaxed SbRh2W crystal.

Lattice parameters (Å, degrees): 4.850 4.850 2.928 90.00 90.00 109.48
Fractional positions:
Rh  0.500  0.000  0.000
Rh  0.000  0.500  0.000
Sb  0.000  0.000  0.500
W  0.500  0.500  0.500

Calculated values
Space group: No. 65
Formation energy from raw total energies: 0.082 eV per atom
Total magnetization: 0.00 μB per formula unit
Crystal system: orthorhombic

VASP calculation (PBE) on a relaxed PrTm6Hg2 crystal.

Lattice parameters (Å, degrees): 3.683 6.543 11.629 74.99 80.89 73.65
Fractional positions:
Tm  0.313  0.792  0.582
Tm  0.688  0.498  0.126
Tm  0.986  0.686  0.342
Tm  0.014  0.314  0.658
Tm  0.687  0.208  0.418
Tm  0.312  0.502  0.874
Hg  0.652  0.919  0.777
Hg  0.348  0.081  0.223
Pr  0.000  0.000  0.000

Calculated values
Calculated formation energy: -0.194 eV per atom
Space group: No. 12
Total magnetization: 0.00 μB per formula unit
Crystal system: monoclinic

VASP calculation (PBE) on a relaxed Sc4CuPd2Au crystal.

Lattice parameters (Å, degrees): 4.702 4.702 8.179 73.30 73.30 60.00
Fractional positions:
Sc  0.377  0.377  0.868
Sc  0.127  0.127  0.619
Sc  0.623  0.623  0.132
Sc  0.873  0.873  0.381
Pd  0.751  0.751  0.746
Pd  0.249  0.249  0.254
Au  0.000  0.000  0.000
Cu  0.500  0.500  0.500

Calculated values
Calculated formation energy: -0.716 eV per atom
Space group: No. 166
Total magnetization: 0.00 μB per formula unit
Crystal system: trigonal

VASP calculation (PBE) on a relaxed TlCuTc2O8 crystal.

Lattice parameters (Å, degrees): 5.348 5.348 8.067 84.63 84.63 68.24
Fractional positions:
O  0.778  0.778  0.052
O  0.308  0.308  0.593
O  0.725  0.242  0.808
O  0.692  0.692  0.407
O  0.242  0.725  0.808
O  0.758  0.275  0.192
O  0.222  0.222  0.948
O  0.275  0.758  0.192
Cu  0.000  0.000  0.000
Tc  0.626  0.626  0.211
Tc  0.374  0.374  0.789
Tl  0.000  0.000  0.500

Calculated values
Space group: No. 12
Formation energy from raw total energies: -1.248 eV per atom
Total magnetization: 0.04 μB per formula unit
Crystal system: monoclinic

VASP calculation (PBE) on a relaxed BeIn2Si crystal.

Lattice parameters (Å, degrees): 5.022 5.022 5.022 127.16 127.16 78.00
Fractional positions:
Si  0.250  0.750  0.500
In  0.000  0.000  0.000
In  0.500  0.500  0.000
Be  0.750  0.250  0.500

Calculated values
Space group: No. 139
Formation energy from raw total energies: 0.587 eV per atom
Relative energy among the computed polymorphs: 374 meV/atom
Total magnetization: 0.00 μB per formula unit
Crystal system: tetragonal

VASP calculation (PBE) on a relaxed AlGePd6 crystal.

Lattice parameters (Å, degrees): 6.249 6.265 5.233 52.97 53.56 60.17
Fractional positions:
Pd  0.981  0.518  0.251
Pd  0.523  0.248  0.246
Pd  0.019  0.482  0.749
Pd  0.477  0.752  0.754
Pd  0.751  0.014  0.751
Pd  0.249  0.986  0.249
Al  0.500  0.500  0.500
Ge  0.000  0.000  0.000

Calculated values
Calculated formation energy: -0.322 eV per atom
Space group: No. 2
Relative energy among the computed polymorphs: 113 meV/atom
Total magnetization: 0.00 μB per formula unit
Crystal system: triclinic

VASP calculation (PBE) on a relaxed K2YTc crystal.

Lattice parameters (Å, degrees): 4.302 4.302 13.739 80.99 80.99 90.00
Fractional positions:
Tc  0.000  0.000  0.000
Tc  0.750  0.250  0.500
K  0.375  0.884  0.750
K  0.875  0.366  0.750
K  0.634  0.625  0.250
K  0.116  0.125  0.250
Y  0.500  0.500  0.000
Y  0.250  0.750  0.500

Calculated values
Calculated formation energy: 1.083 eV per atom
Space group: No. 122
Relative energy among the computed polymorphs: 480 meV/atom
Total magnetization: 1.25 μB per formula unit
Crystal system: tetragonal

VASP calculation (PBE) on a relaxed Pm4HoTm7 crystal.

Lattice parameters (Å, degrees): 6.785 6.516 11.763 74.98 49.52 81.24
Fractional positions:
Tm  0.942  0.682  0.355
Tm  0.723  0.187  0.382
Tm  0.801  0.512  0.952
Tm  0.500  0.000  0.000
Tm  0.277  0.813  0.618
Tm  0.058  0.318  0.645
Tm  0.199  0.488  0.048
Pm  0.520  0.640  0.287
Pm  0.692  0.834  0.693
Pm  0.308  0.166  0.307
Pm  0.480  0.360  0.713
Ho  0.000  0.000  0.000

Calculated values
Calculated formation energy: 0.089 eV per atom
Space group: No. 2
Relative energy among the computed polymorphs: 0 meV/atom
Total magnetization: 0.00 μB per formula unit
Crystal system: triclinic

VASP calculation (PBE) on a relaxed Ac6PrNd2 crystal.

Lattice parameters (Å, degrees): 7.876 9.970 9.970 78.66 89.72 89.72
Fractional positions:
Ac  0.618  0.610  0.105
Ac  0.889  0.352  0.888
Ac  0.630  0.600  0.601
Ac  0.870  0.399  0.400
Ac  0.370  0.400  0.399
Ac  0.111  0.648  0.112
Ac  0.130  0.601  0.600
Ac  0.611  0.112  0.648
Ac  0.382  0.390  0.895
Ac  0.882  0.895  0.390
Ac  0.389  0.888  0.352
Ac  0.118  0.105  0.610
Nd  0.111  0.199  0.205
Nd  0.389  0.795  0.801
Nd  0.889  0.801  0.795
Nd  0.611  0.205  0.199
Pr  0.750  0.973  0.027
Pr  0.250  0.027  0.973

Calculated values
Calculated formation energy: 0.140 eV per atom
Space group: No. 15
Relative energy among the computed polymorphs: 65 meV/atom
Total magnetization: 0.00 μB per formula unit
Crystal system: monoclinic

VASP calculation (PBE) on a relaxed V3Si2Ru7 crystal.

Lattice parameters (Å, degrees): 3.962 4.041 11.140 100.45 90.00 90.00
Fractional positions:
Ru  0.000  0.581  0.161
Ru  0.000  0.419  0.839
Ru  0.500  0.084  0.167
Ru  0.000  0.284  0.568
Ru  0.000  0.000  0.000
Ru  0.500  0.916  0.833
Ru  0.000  0.716  0.432
V  0.500  0.500  0.000
V  0.500  0.343  0.686
V  0.500  0.657  0.314
Si  0.000  0.152  0.304
Si  0.000  0.848  0.696

Calculated values
Space group: No. 65
Formation energy from raw total energies: -0.190 eV per atom
Total magnetization: 0.00 μB per formula unit
Crystal system: orthorhombic